Run one
TiPRhCl2: PBEsol geometry, SCAN.

V = 20.00 Å³ per atom
total magnetic moment = 1.549 Bohr magnetons per cell
theoretical density = 4.195 g/cm³

Unit cell a=4.720 b=4.720 c=4.490 alpha=90.00 beta=90.00 gamma=90.00
Each line ends with the local moment (μB).
Sites, in units of the cell vectors:
Cl 0.000 0.500 0.000  -0.02
Rh 0.000 0.000 0.000  -0.06
Cl 0.500 0.000 0.000  -0.02
Ti 0.500 0.500 0.500  1.73
P 0.000 0.000 0.500  -0.16

---

Run two
TiPRhCl2: PBEsol geometry, SCAN.

V = 20.00 Å³ per atom
total magnetic moment = 1.869 Bohr magnetons per cell
theoretical density = 4.196 g/cm³

Unit cell a=4.485 b=4.485 c=4.970 alpha=90.00 beta=90.00 gamma=90.00
Each line ends with the local moment (μB).
Sites, in units of the cell vectors:
Ti 0.000 0.000 0.000  0.35
Cl 0.000 0.500 0.000  0.00
Rh 0.500 0.500 0.500  1.58
P 0.000 0.000 0.500  -0.11
Cl 0.500 0.000 0.000  0.00

---

Stability check: which of them is least stable? run one.

---

Run one
PRu2Cl: PBEsol geometry, SCAN.

V = 14.19 Å³ per atom
total magnetic moment = 0.000 Bohr magnetons per cell
theoretical density = 7.856 g/cm³

Unit cell a=2.793 b=3.855 c=5.273 alpha=90.00 beta=90.00 gamma=90.00
Sites, in units of the cell vectors:
Ru 0.500 0.000 0.500
Ru 0.000 0.000 0.000
P 0.000 0.500 0.500
Cl 0.500 0.500 0.000

---

Run two
PRu2Cl: PBEsol geometry, SCAN.

V = 15.60 Å³ per atom
total magnetic moment = 0.001 Bohr magnetons per cell
theoretical density = 7.146 g/cm³

Unit cell a=2.760 b=2.821 c=9.193 alpha=90.00 beta=90.00 gamma=119.29
Sites, in units of the cell vectors:
Ru 0.000 0.000 0.999
Ru 0.500 0.000 0.248
Cl 0.000 0.000 0.454
P 0.500 0.000 0.798

---

Stability check: which of them is least stable? run one.

---

Run one
PRuCl2: PBEsol geometry, SCAN.

V = 17.92 Å³ per atom
total magnetic moment = 0.000 Bohr magnetons per cell
theoretical density = 4.701 g/cm³

Unit cell a=3.407 b=4.637 c=5.003 alpha=114.88 beta=90.00 gamma=90.00
Sites, in units of the cell vectors:
Ru 0.500 0.280 0.562
Cl 0.000 0.073 0.111
Cl 0.500 0.737 0.464
P 0.000 0.411 0.863

---

Run two
PRuCl2: PBEsol geometry, SCAN.

V = 17.74 Å³ per atom
total magnetic moment = 0.000 Bohr magnetons per cell
theoretical density = 4.750 g/cm³

Unit cell a=2.984 b=4.421 c=6.004 alpha=111.60 beta=104.39 gamma=90.00
Sites, in units of the cell vectors:
P 0.418 0.418 0.835
Cl 0.263 0.763 0.526
Ru 0.762 0.262 0.523
Cl 0.057 0.057 0.115

---

Stability check: which of them is least stable? run two.

---

Run one
TlP2RuCl: PBEsol geometry, SCAN.

V = 21.22 Å³ per atom
total magnetic moment = 0.000 Bohr magnetons per cell
theoretical density = 6.305 g/cm³

Unit cell a=4.486 b=4.486 c=5.273 alpha=90.00 beta=90.00 gamma=90.00
Sites, in units of the cell vectors:
P 0.500 0.000 0.000
P 0.000 0.500 0.000
Ru 0.000 0.000 0.000
Tl 0.500 0.500 0.500
Cl 0.000 0.000 0.500

---

Run two
TlP2RuCl: PBEsol geometry, SCAN.

V = 25.17 Å³ per atom
total magnetic moment = 3.984 Bohr magnetons per cell
theoretical density = 5.315 g/cm³

Unit cell a=4.973 b=4.973 c=5.089 alpha=90.00 beta=90.00 gamma=90.00
Each line ends with the local moment (μB).
Sites, in units of the cell vectors:
Ru 0.500 0.500 0.500  2.92
P 0.000 0.500 0.000  0.17
Cl 0.000 0.000 0.500  0.10
P 0.500 0.000 0.000  0.17
Tl 0.000 0.000 0.000  0.01

---

Stability check: which of them is least stable? run two.

---

Run one
PRuWCl2: PBEsol geometry, SCAN.

V = 20.14 Å³ per atom
total magnetic moment = 3.051 Bohr magnetons per cell
theoretical density = 6.377 g/cm³

Unit cell a=4.572 b=4.572 c=4.819 alpha=90.00 beta=90.00 gamma=90.00
Each line ends with the local moment (μB).
Sites, in units of the cell vectors:
Ru 0.500 0.500 0.500  2.63
Cl 0.500 0.000 0.000  0.03
P 0.000 0.000 0.500  -0.05
W 0.000 0.000 0.000  0.15
Cl 0.000 0.500 0.000  0.03

---

Run two
PRuWCl2: PBEsol geometry, SCAN.

V = 19.47 Å³ per atom
total magnetic moment = 4.213 Bohr magnetons per cell
theoretical density = 6.599 g/cm³

Unit cell a=4.532 b=4.634 c=4.634 alpha=90.00 beta=90.00 gamma=90.00
Each line ends with the local moment (μB).
Sites, in units of the cell vectors:
Cl 0.000 0.000 0.500  0.00
Cl 0.000 0.500 0.000  0.00
Ru 0.000 0.000 0.000  0.18
P 0.500 0.000 0.000  -0.17
W 0.500 0.500 0.500  3.26

---

Stability check: which of them is least stable? run two.

---

Run one
ZnP2SCl: PBEsol geometry, SCAN.

V = 19.52 Å³ per atom
total magnetic moment = 0.002 Bohr magnetons per cell
theoretical density = 3.315 g/cm³

Unit cell a=4.442 b=4.687 c=4.687 alpha=90.00 beta=90.00 gamma=90.00
Sites, in units of the cell vectors:
Cl 0.500 0.500 0.500
S 0.500 0.000 0.000
P 0.000 0.500 0.000
Zn 0.000 0.000 0.000
P 0.000 0.000 0.500

---

Run two
ZnP2SCl: PBEsol geometry, SCAN.

V = 19.31 Å³ per atom
total magnetic moment = 0.781 Bohr magnetons per cell
theoretical density = 3.352 g/cm³

Unit cell a=4.443 b=4.661 c=4.661 alpha=90.00 beta=90.00 gamma=90.00
Each line ends with the local moment (μB).
Sites, in units of the cell vectors:
P 0.000 0.000 0.500  0.25
S 0.500 0.500 0.500  -0.21
Zn 0.000 0.000 0.000  0.00
Cl 0.500 0.000 0.000  0.04
P 0.000 0.500 0.000  0.25

---

Stability check: which of them is least stable? run one.